(1)
## Ca2TeAsW (SCAN)

Data for Ca2TeAsW at its PBEsol-relaxed geometry.

Calculated values
Spin magnetization = 4.77 Bohr magnetons per cell
Raw formation energy = 1017 meV/atom

a = 5.6320 Å, b = 5.6320 Å, c = 5.4131 Å
α = 90.00°, β = 90.00°, γ = 90.00°
Closest atoms and distances in Å follow each position.
Space group P4/mmm (No. 123)
Inequivalent atoms, fractional coordinates:
Ca 0.0000 0.5000 0.0000 (multiplicity 2)  2 Te 2.82
Te 0.0000 0.0000 0.0000 (multiplicity 1)  2 As 2.71, 4 Ca 2.82
As 0.0000 0.0000 0.5000 (multiplicity 1)  2 Te 2.71
W 0.5000 0.5000 0.5000 (multiplicity 1)  8 Ca 3.91, 4 As 3.98

---

(2)
## CaTl2As (SCAN)

Data for CaTl2As at its PBEsol-relaxed geometry.

Calculated values
Spin magnetization = 0.00 Bohr magnetons per cell
Energy above the most stable polymorph in this dataset = 0.000 eV per atom

a = 4.3608 Å, b = 4.0563 Å, c = 6.4527 Å
α = 90.00°, β = 109.43°, γ = 90.00°
Closest atoms and distances in Å follow each position.
Space group Pm (No. 6)
Inequivalent atoms, fractional coordinates:
Ca 0.0000 0.0000 0.0000 (multiplicity 1)  4 As 3.02-3.03
Tl 0.2823 0.0000 0.5594 (multiplicity 1)  2 As 2.96, 4 Tl 3.15
Tl 0.6990 0.5000 0.3902 (multiplicity 1)  1 As 2.90, 4 Tl 3.15
As 0.4568 0.5000 0.9142 (multiplicity 1)  3 Tl 2.90-2.96, 4 Ca 3.02-3.03

---

(3)
## Ca2Tl2As (SCAN)

Data for Ca2Tl2As at its PBEsol-relaxed geometry.

Calculated values
Spin magnetization = 0.00 Bohr magnetons per cell
E_tot = -36.7589 eV/atom

a = 4.9411 Å, b = 4.9411 Å, c = 12.5756 Å
α = 90.00°, β = 90.00°, γ = 90.00°
Closest atoms and distances in Å follow each position.
Space group I4/mmm (No. 139)
Inequivalent atoms, fractional coordinates:
Ca 0.0000 0.5000 0.2500 (multiplicity 4)  4 Tl 3.07
Tl 0.0000 0.0000 0.1050 (multiplicity 4)  1 Tl 2.64
As 0.0000 0.0000 0.5000 (multiplicity 2)  8 Tl 3.74, 8 Ca 4.00

---

(4)
## CaTlAs3 (SCAN)

Data for CaTlAs3 at its PBEsol-relaxed geometry.

Calculated values
Spin magnetization = 0.00 Bohr magnetons per cell
E_tot = -27.9354 eV/atom

a = 5.2960 Å, b = 5.2960 Å, c = 5.2960 Å
α = 90.00°, β = 90.00°, γ = 90.00°
Closest atoms and distances in Å follow each position.
Space group Pm-3m (No. 221)
Inequivalent atoms, fractional coordinates:
Ca 0.0000 0.0000 0.0000 (multiplicity 1)  6 As 2.65
Tl 0.5000 0.5000 0.5000 (multiplicity 1)  12 As 3.74
As 0.0000 0.0000 0.5000 (multiplicity 3)  2 Ca 2.65

---

(5)
## CaTl2As (SCAN)

Data for CaTl2As at its PBEsol-relaxed geometry.

Calculated values
Spin magnetization = 0.00 Bohr magnetons per cell
Energy above the most stable polymorph in this dataset = 0.299 eV per atom

a = 7.4208 Å, b = 7.4208 Å, c = 7.4208 Å
α = 90.00°, β = 90.00°, γ = 90.00°
Closest atoms and distances in Å follow each position.
Space group Fm-3m (No. 225)
Inequivalent atoms, fractional coordinates:
Ca 0.0000 0.0000 0.0000 (multiplicity 4)  8 Tl 3.21
Tl 0.2500 0.2500 0.2500 (multiplicity 8)  4 As 3.21, 4 Ca 3.21
As 0.0000 0.0000 0.5000 (multiplicity 4)  8 Tl 3.21

---

(6)
## Ca2YAs (SCAN)

Data for Ca2YAs at its PBEsol-relaxed geometry.

Calculated values
Spin magnetization = 0.00 Bohr magnetons per cell
E_tot = -17.0592 eV/atom

a = 6.2878 Å, b = 10.8060 Å, c = 3.4310 Å
α = 90.00°, β = 107.82°, γ = 90.00°
Closest atoms and distances in Å follow each position.
Space group C2/m (No. 12)
Inequivalent atoms, fractional coordinates:
Ca 0.2500 0.2500 0.0000 (multiplicity 4)  4 Ca 3.14-3.43, 2 As 3.33, 2 Y 3.33
Y 0.0000 0.0000 0.5000 (multiplicity 2)  2 As 3.14, 4 Ca 3.33, 2 Y 3.43
As 0.0000 0.5000 0.5000 (multiplicity 2)  2 Y 3.14, 4 Ca 3.33, 2 As 3.43

---

(7)
## CaYAs2 (SCAN)

Data for CaYAs2 at its PBEsol-relaxed geometry.

Calculated values
Spin magnetization = 0.00 Bohr magnetons per cell
Energy above the most stable polymorph in this dataset = 0.119 eV per atom

a = 7.3907 Å, b = 7.4749 Å, c = 3.3181 Å
α = 90.00°, β = 99.96°, γ = 90.00°
Closest atoms and distances in Å follow each position.
Space group C2/m (No. 12)
Inequivalent atoms, fractional coordinates:
Ca 0.0000 0.0000 0.0000 (multiplicity 2)  8 As 2.93-3.27
Y 0.0000 0.5000 0.0000 (multiplicity 2)  8 As 2.93-3.27
As 0.2500 0.2500 0.5000 (multiplicity 4)  4 Ca 2.93-3.27, 4 Y 2.93-3.27

---

(8)
## CaY2As2 (SCAN)

Data for CaY2As2 at its PBEsol-relaxed geometry.

Calculated values
Spin magnetization = 0.00 Bohr magnetons per cell
E_tot = -22.4531 eV/atom

a = 7.7580 Å, b = 7.7580 Å, c = 3.9239 Å
α = 90.00°, β = 90.00°, γ = 90.00°
Closest atoms and distances in Å follow each position.
Space group P4/mbm (No. 127)
Inequivalent atoms, fractional coordinates:
Ca 0.0000 0.0000 0.0000 (multiplicity 2)  4 As 2.96
Y 0.1549 0.3451 0.5000 (multiplicity 4)  6 As 2.91-3.07
As 0.1488 0.6488 0.0000 (multiplicity 4)  6 Y 2.91-3.07, 2 Ca 2.96

---

(9)
## Ca2YAs (SCAN)

Data for Ca2YAs at its PBEsol-relaxed geometry.

Calculated values
Spin magnetization = 0.00 Bohr magnetons per cell
E_tot = -17.4665 eV/atom

a = 3.7968 Å, b = 5.3228 Å, c = 11.8328 Å
α = 90.00°, β = 90.00°, γ = 90.00°
Closest atoms and distances in Å follow each position.
Space group Imm2 (No. 44)
Inequivalent atoms, fractional coordinates:
Ca 0.0000 0.0000 0.0000 (multiplicity 2)  4 As 3.27, 2 Ca 3.44, 2 Y 3.46
Ca 0.0000 0.5000 0.1848 (multiplicity 2)  2 As 2.99
Y 0.0000 0.5000 0.8136 (multiplicity 2)  2 As 2.82
As 0.0000 0.0000 0.4896 (multiplicity 2)  2 Y 2.82, 2 Ca 2.99

---

(10)
## CaYAs2 (SCAN)

Data for CaYAs2 at its PBEsol-relaxed geometry.

Calculated values
Spin magnetization = 0.00 Bohr magnetons per cell
Energy above the most stable polymorph in this dataset = 0.087 eV per atom

a = 4.4394 Å, b = 5.4448 Å, c = 7.5910 Å
α = 90.00°, β = 90.00°, γ = 90.00°
Closest atoms and distances in Å follow each position.
Space group Cmmm (No. 65)
Inequivalent atoms, fractional coordinates:
Ca 0.0000 0.0000 0.0000 (multiplicity 2)  4 As 2.97
Y 0.0000 0.0000 0.5000 (multiplicity 2)  4 As 2.87
As 0.0000 0.5000 0.2605 (multiplicity 4)  2 Y 2.87, 2 Ca 2.97

---

(11)
## CaYAs2 (SCAN)

Data for CaYAs2 at its PBEsol-relaxed geometry.

Calculated values
Spin magnetization = 0.00 Bohr magnetons per cell
Energy above the most stable polymorph in this dataset = 0.000 eV per atom

a = 10.9148 Å, b = 3.9455 Å, c = 4.3054 Å
α = 90.00°, β = 96.10°, γ = 90.00°
Closest atoms and distances in Å follow each position.
Space group Cm (No. 8)
Inequivalent atoms, fractional coordinates:
Ca 0.0000 0.0000 0.0000 (multiplicity 2)  5 As 2.87-2.95
Y 0.2554 0.0000 0.4940 (multiplicity 2)  7 As 2.90-3.20
As 0.0252 0.5000 0.5129 (multiplicity 2)  1 As 2.89, 4 Ca 2.91-2.95, 3 Y 2.94-3.20
As 0.2364 0.5000 0.9806 (multiplicity 2)  1 Ca 2.87, 1 As 2.89, 4 Y 2.90-2.95

---

(12)
## CaYAs (SCAN)

Data for CaYAs at its PBEsol-relaxed geometry.

Calculated values
Spin magnetization = 7.67 Bohr magnetons per cell
E_tot = -19.1194 eV/atom

a = 6.9073 Å, b = 6.9073 Å, c = 6.9073 Å
α = 90.00°, β = 90.00°, γ = 90.00°
Closest atoms and distances in Å follow each position.
Space group F-43m (No. 216)
Inequivalent atoms, fractional coordinates:
Ca 0.0000 0.0000 0.0000 (multiplicity 4)  4 As 2.99, 4 Y 2.99
Y 0.2500 0.2500 0.2500 (multiplicity 4)  4 Ca 2.99
As 0.2500 0.2500 0.7500 (multiplicity 4)  4 Ca 2.99

---

(13)
## CaYAs2 (SCAN)

Data for CaYAs2 at its PBEsol-relaxed geometry.

Calculated values
Spin magnetization = 0.00 Bohr magnetons per cell
Energy above the most stable polymorph in this dataset = 0.150 eV per atom

a = 4.9445 Å, b = 4.9445 Å, c = 7.3353 Å
α = 90.00°, β = 90.00°, γ = 90.00°
Closest atoms and distances in Å follow each position.
Space group I4/mmm (No. 139)
Inequivalent atoms, fractional coordinates:
Ca 0.0000 0.0000 0.0000 (multiplicity 2)  8 As 3.08
Y 0.0000 0.0000 0.5000 (multiplicity 2)  8 As 3.08
As 0.0000 0.5000 0.2500 (multiplicity 4)  4 Ca 3.08, 4 Y 3.08

---

(14)
## CaZnAs (SCAN)

Data for CaZnAs at its PBEsol-relaxed geometry.

Calculated values
Spin magnetization = 0.00 Bohr magnetons per cell
E_tot = -14.8769 eV/atom

a = 3.5050 Å, b = 3.5050 Å, c = 10.1313 Å
α = 90.00°, β = 90.00°, γ = 90.00°
Closest atoms and distances in Å follow each position.
Space group I4mm (No. 107)
Inequivalent atoms, fractional coordinates:
Ca 0.0000 0.0000 0.0000 (multiplicity 2)  5 Zn 3.08-3.18, 5 As 3.10-3.16
Zn 0.0000 0.0000 0.3038 (multiplicity 2)  4 As 2.72
As 0.0000 0.0000 0.6936 (multiplicity 2)  4 Zn 2.72

---

(15)
## CaZn2As (SCAN)

Data for CaZn2As at its PBEsol-relaxed geometry.

Calculated values
Spin magnetization = 0.00 Bohr magnetons per cell
E_tot = -14.6257 eV/atom

a = 4.0480 Å, b = 4.5075 Å, c = 4.7348 Å
α = 90.00°, β = 93.09°, γ = 90.00°
Closest atoms and distances in Å follow each position.
Space group P2/m (No. 10)
Inequivalent atoms, fractional coordinates:
Ca 0.0000 0.0000 0.0000 (multiplicity 1)  4 As 3.03-3.20, 8 Zn 3.14-3.35
Zn 0.4424 0.5000 0.7533 (multiplicity 2)  2 Zn 2.36-2.47, 2 As 2.57
As 0.5000 0.0000 0.5000 (multiplicity 1)  4 Zn 2.57